No. 1
# BaTa3Ir | Alexandria | PBE | optimized geometry
# SG = Pm-3m
# Electronic total energy = -30.1 eV per formula unit
data_BaTa3Ir
_chemical_formula_sum 'Ba1 Ta3 Ir1'
_symmetry_space_group_name_H-M 'P 1'
_symmetry_Int_Tables_number 1
_symmetry_space_group_name_Hall 'P 1'
_cell_length_a 4.9460
_cell_length_b 4.9460
_cell_length_c 4.9460
_cell_angle_alpha 90.00
_cell_angle_beta 90.00
_cell_angle_gamma 90.00
loop_
_atom_site_label
_atom_site_fract_x
_atom_site_fract_y
_atom_site_fract_z
Ba1 0.0000 0.0000 0.0000
Ta1 0.0000 0.0000 0.5000
Ta2 0.0000 0.5000 0.0000
Ta3 0.5000 0.0000 0.0000
Ir1 0.5000 0.5000 0.5000


No. 2
# Ba2TaIr | Alexandria | PBE | optimized geometry
# SG = Cmmm
# Electronic total energy = -20.5 eV per formula unit
data_Ba2TaIr
_chemical_formula_sum 'Ba2 Ta1 Ir1'
_symmetry_space_group_name_H-M 'P 1'
_symmetry_Int_Tables_number 1
_symmetry_space_group_name_Hall 'P 1'
_cell_length_a 6.0408
_cell_length_b 6.0408
_cell_length_c 3.3513
_cell_angle_alpha 90.00
_cell_angle_beta 90.00
_cell_angle_gamma 120.31
loop_
_atom_site_label
_atom_site_fract_x
_atom_site_fract_y
_atom_site_fract_z
Ba1 0.0000 0.5000 0.0000
Ba2 0.5000 0.0000 0.0000
Ta1 0.0000 0.0000 0.5000
Ir1 0.5000 0.5000 0.5000


No. 3
# Ba2TaIr | Alexandria | PBE | optimized geometry
# SG = Fm-3m
# Electronic total energy = -19.9 eV per formula unit
data_Ba2TaIr
_chemical_formula_sum 'Ba2 Ta1 Ir1'
_symmetry_space_group_name_H-M 'P 1'
_symmetry_Int_Tables_number 1
_symmetry_space_group_name_Hall 'P 1'
_cell_length_a 5.5345
_cell_length_b 5.5345
_cell_length_c 5.5345
_cell_angle_alpha 60.00
_cell_angle_beta 60.00
_cell_angle_gamma 60.00
loop_
_atom_site_label
_atom_site_fract_x
_atom_site_fract_y
_atom_site_fract_z
Ba1 0.2500 0.2500 0.2500
Ba2 0.7500 0.7500 0.7500
Ta1 0.0000 0.0000 0.0000
Ir1 0.5000 0.5000 0.5000


No. 4
# Ba2Ta2Ir | Alexandria | PBE | optimized geometry
# SG = I4/mmm
# Electronic total energy = -32.8 eV per formula unit
data_Ba2Ta2Ir
_chemical_formula_sum 'Ba2 Ta2 Ir1'
_symmetry_space_group_name_H-M 'P 1'
_symmetry_Int_Tables_number 1
_symmetry_space_group_name_Hall 'P 1'
_cell_length_a 11.0831
_cell_length_b 11.0831
_cell_length_c 11.0831
_cell_angle_alpha 160.60
_cell_angle_beta 160.60
_cell_angle_gamma 27.57
loop_
_atom_site_label
_atom_site_fract_x
_atom_site_fract_y
_atom_site_fract_z
Ba1 0.0874 0.0874 0.0000
Ba2 0.9126 0.9126 0.0000
Ta1 0.2500 0.7500 0.5000
Ta2 0.7500 0.2500 0.5000
Ir1 0.5000 0.5000 0.0000